(1)
This record from Alexandria via LeMat-Bulk describes a relaxed structure of Na3SrO8. The functional is PBE.

POSCAR file:
```
Na3SrO8
1.0
0.000 4.300 4.892
4.025 0.000 4.892
4.025 4.300 0.000
Na Sr O
3 1 8
direct
0.000 0.000 0.000
0.250 0.250 0.250
0.750 0.750 0.750
0.500 0.500 0.500
0.071 0.929 0.590
0.167 0.329 0.671
0.329 0.167 0.833
0.410 0.590 0.929
0.590 0.410 0.071
0.671 0.833 0.167
0.833 0.671 0.329
0.929 0.071 0.410
```

Calculated values
total magnetization = 3.03 Bohr magnetons per cell
ΔE_f (raw) = -1.047 eV/atom
space group = Fmmm, No. 69
DOS at the Fermi energy = 0.731 states/eV per atom

***

(2)
This record from Alexandria via LeMat-Bulk describes a relaxed structure of CaOs3Se. The functional is PBE.

POSCAR file:
```
CaOs3Se
1.0
4.604 0.000 0.000
0.000 4.604 0.000
0.000 0.000 4.604
Ca Os Se
1 3 1
direct
0.000 0.000 0.000
0.000 0.500 0.500
0.500 0.000 0.500
0.500 0.500 0.000
0.500 0.500 0.500
```

Calculated values
total magnetization = 0.00 Bohr magnetons per cell
distance to the lowest polymorph of the same formula = 0 kJ/mol of formula units
ΔE_f (raw) = 1.174 eV/atom
space group = Pm-3m, No. 221
DOS at the Fermi energy = 0.781 states/eV per atom

***

(3)
This record from Alexandria via LeMat-Bulk describes a relaxed structure of Li2TcO4. The functional is PBE.

POSCAR file:
```
Li2TcO4
1.0
5.589 0.000 0.000
0.000 5.883 0.000
-0.360 0.000 6.100
Li Tc O
4 2 8
direct
0.094 0.250 0.378
0.359 0.750 0.823
0.641 0.250 0.177
0.906 0.750 0.622
0.129 0.250 0.852
0.871 0.750 0.148
0.178 0.750 0.096
0.179 0.008 0.678
0.179 0.492 0.678
0.299 0.250 0.111
0.701 0.750 0.889
0.821 0.508 0.322
0.821 0.992 0.322
0.822 0.250 0.904
```

Calculated values
total magnetization = 2.01 Bohr magnetons per cell
distance to the lowest polymorph of the same formula = 21 kJ/mol of formula units
ΔE_f (raw) = -1.641 eV/atom
space group = P2_1/m, No. 11
DOS at the Fermi energy = 0.627 states/eV per atom

***

Q: Which formula does entry 3 have?
A: Li2TcO4

***

Q: total magnetization of number 3 (Li2TcO4)?
A: 2.01 Bohr magnetons per cell

***

Q: The highest DOS at the Fermi energy belongs to which entry?
A: CaOs3Se